{"formula": "YSiW4", "functional": "GGA-PBEsol", "state": "relaxed", "cell": [[5.3265, 0.0000, 0.0000], [2.6633, 4.6129, 0.0000], [2.6633, 1.5376, 4.3491]], "species": ["Si", "W", "W", "W", "W", "Y"], "frac_coords": [[0.0000, 0.0000, 0.0000], [0.3746, 0.3746, 0.3746], [0.3746, 0.3746, 0.8763], [0.8763, 0.3746, 0.3746], [0.3746, 0.8763, 0.3746], [0.7500, 0.7500, 0.7500]], "volume_a3_per_atom": 17.81, "e_form_raw_ev_per_atom": 0.447}

{"formula": "CdSiRh2", "functional": "GGA-PBEsol", "state": "relaxed", "cell": [[-1.3697, 1.0919, -2.6159], [-0.7207, -2.9439, -0.8515], [-5.3420, 0.4451, 2.9828]], "species": ["Cd", "Rh", "Rh", "Si"], "frac_coords": [[0.5000, 0.5000, 0.7585], [0.0000, 0.0000, 0.0185], [0.5000, 0.5000, 0.2934], [0.0000, 0.0000, 0.4296]], "volume_a3_per_atom": 15.20, "e_form_raw_ev_per_atom": -0.135}

{"formula": "Sc3CuO", "functional": "GGA-PBEsol", "state": "relaxed", "cell": [[-1.8924, 3.7954, -0.6198], [-0.5539, -0.9526, -4.1420], [-3.8056, -1.7487, 0.9111]], "species": ["Sc", "Sc", "Sc", "O", "Cu"], "frac_coords": [[0.0000, 0.5000, 0.0000], [0.0000, 0.0000, 0.5000], [0.5000, 0.0000, 0.0000], [0.0000, 0.0000, 0.0000], [0.5000, 0.5000, 0.5000]], "volume_a3_per_atom": 15.75, "e_form_raw_ev_per_atom": -1.315}

{"formula": "Ca2Bi3O8", "functional": "GGA-PBEsol", "state": "relaxed", "cell": [[5.7891, 0.0000, 0.0083], [0.0000, 6.7279, 0.0000], [-2.1362, -3.3639, 5.4005]], "species": ["Ca", "Ca", "Bi", "Bi", "Bi", "O", "O", "O", "O", "O", "O", "O", "O"], "frac_coords": [[0.6414, 0.7193, 0.4387], [0.3586, 0.2807, 0.5613], [0.5000, 0.0000, 0.0000], [0.0000, 0.2614, 0.0000], [0.0000, 0.7386, 0.0000], [0.0917, 0.3982, 0.7965], [0.9083, 0.6018, 0.2035], [0.0593, 0.8916, 0.7832], [0.9407, 0.1084, 0.2168], [0.3836, 0.8911, 0.2441], [0.3836, 0.3530, 0.2441], [0.6164, 0.6470, 0.7559], [0.6164, 0.1089, 0.7559]], "relative_energy_mev_per_atom": 0, "volume_a3_per_atom": 16.19, "e_form_raw_ev_per_atom": -1.617}

{"formula": "TaTlCuSe2", "functional": "GGA-PBEsol", "state": "relaxed", "cell": [[4.8730, 0.0000, 0.0000], [0.0000, 4.8730, 0.0000], [0.0000, 0.0000, 5.6342]], "species": ["Tl", "Cu", "Se", "Se", "Ta"], "frac_coords": [[0.0000, 0.0000, 0.5000], [0.5000, 0.5000, 0.5000], [0.0000, 0.5000, 0.0000], [0.5000, 0.0000, 0.0000], [0.0000, 0.0000, 0.0000]], "volume_a3_per_atom": 26.76, "e_form_raw_ev_per_atom": 0.500}

{"formula": "LiCdCl2", "functional": "GGA-PBEsol", "state": "relaxed", "cell": [[-3.1591, 0.9268, 2.1950], [-0.7737, -4.1026, 0.6187], [3.1687, 0.0848, 4.5247]], "species": ["Cd", "Cl", "Cl", "Li"], "frac_coords": [[0.5000, 0.8655, 0.5000], [0.5000, 0.8037, 0.0000], [0.0000, 0.3567, 0.5000], [0.0000, 0.4740, 0.0000]], "relative_energy_mev_per_atom": 0, "volume_a3_per_atom": 23.07, "e_form_raw_ev_per_atom": -1.019}

{"formula": "UReC2", "functional": "GGA-PBEsol", "state": "relaxed", "cell": [[3.1192, 0.0000, 0.0000], [0.0000, 5.5523, 0.0000], [0.0000, 0.0000, 10.9940]], "species": ["U", "U", "U", "U", "Re", "Re", "Re", "Re", "C", "C", "C", "C", "C", "C", "C", "C"], "frac_coords": [[0.7500, 0.4167, 0.6414], [0.7500, 0.9167, 0.8586], [0.2500, 0.5833, 0.3586], [0.2500, 0.0833, 0.1414], [0.7500, 0.0800, 0.3955], [0.7500, 0.5800, 0.1045], [0.2500, 0.9200, 0.6045], [0.2500, 0.4200, 0.8955], [0.7500, 0.3363, 0.2549], [0.7500, 0.8363, 0.2451], [0.2500, 0.6637, 0.7451], [0.2500, 0.1637, 0.7549], [0.7500, 0.7550, 0.5070], [0.7500, 0.2550, 0.9930], [0.2500, 0.2450, 0.4930], [0.2500, 0.7450, 0.0070]], "ef_ev_per_atom": -0.2177, "volume_a3_per_atom": 11.90}

{"formula": "K3Sb", "functional": "GGA-PBEsol", "state": "relaxed", "cell": [[5.3649, 0.0000, 0.0000], [0.0000, 5.3628, 0.0000], [0.0000, 0.0000, 5.3628]], "species": ["K", "K", "K", "Sb"], "frac_coords": [[0.4995, 0.5000, 0.0000], [0.0000, 0.0000, 0.0000], [0.5005, 0.0000, 0.5000], [0.0000, 0.5000, 0.5000]], "relative_energy_mev_per_atom": 171, "volume_a3_per_atom": 38.57, "e_form_raw_ev_per_atom": -0.240}

{"formula": "PrTlTe2", "functional": "GGA-PBEsol", "state": "relaxed", "cell": [[-2.6229, 3.3985, -1.3296], [-0.1739, 1.1377, -4.3443], [-6.9862, -3.5880, -2.9845]], "species": ["Pr", "Tl", "Te", "Te"], "frac_coords": [[0.0000, 0.0000, 0.0000], [0.5000, 0.5000, 0.5000], [0.7427, 0.7427, 0.7719], [0.2573, 0.2573, 0.2281]], "volume_a3_per_atom": 34.94, "e_form_raw_ev_per_atom": -1.021}

{"formula": "Li2Ni", "functional": "GGA-PBEsol", "state": "relaxed", "cell": [[2.5484, 0.0000, 0.0000], [-1.2742, 2.2070, 0.0000], [0.0000, 0.0000, 6.6305]], "species": ["Ni", "Li", "Li"], "frac_coords": [[0.0000, 0.0000, 0.0000], [0.3333, 0.6667, 0.3036], [0.6667, 0.3333, 0.6964]], "ef_ev_per_atom": 0.0569, "volume_a3_per_atom": 12.43}

{"formula": "KCuCl", "functional": "GGA-PBEsol", "state": "relaxed", "cell": [[-2.7781, 1.5282, -1.1907], [-1.8312, -2.7347, 0.7625], [1.2227, 2.8276, 5.5934]], "species": ["K", "Cu", "Cl"], "frac_coords": [[0.6520, 0.6520, 0.3040], [0.3658, 0.3658, 0.7315], [0.9823, 0.9823, 0.9645]], "volume_a3_per_atom": 22.58, "e_form_raw_ev_per_atom": -0.203}

{"formula": "LiTe2PbI", "functional": "GGA-PBEsol", "state": "relaxed", "cell": [[-1.0173, 4.9165, 0.0796], [-1.4589, -0.2242, -4.7995], [-5.3350, -1.1310, 1.6745]], "species": ["Pb", "I", "Te", "Te", "Li"], "frac_coords": [[0.5000, 0.5000, 0.5000], [0.0000, 0.0000, 0.5000], [0.0000, 0.5000, 0.0000], [0.5000, 0.0000, 0.0000], [0.0000, 0.0000, 0.0000]], "relative_energy_mev_per_atom": 0, "volume_a3_per_atom": 28.77, "e_form_raw_ev_per_atom": -0.115}